Density functional theory data (meta-GGA SCAN) for a PBEsol-optimized structure of Ca2MgBeCu.

- uncorrected energy (eV per cell) = -39.50
- calculated formation energy (meV per atom) = 870
- M_tot (μB per formula unit) = 0.00

Cell and atoms, written as CIF:
```
data_Ca2MgBeCu
_cell_length_a 5.744
_cell_length_b 5.744
_cell_length_c 4.434
_cell_angle_alpha 90.00
_cell_angle_beta 90.00
_cell_angle_gamma 90.00
_symmetry_space_group_name_H-M 'P 4/m m m'
_symmetry_Int_Tables_number 123
_symmetry_space_group_name_Hall '-P 4 2'
loop_
_atom_site_label
_atom_site_fract_x
_atom_site_fract_y
_atom_site_fract_z
Ca1 0.000 0.500 0.000
Mg1 0.000 0.000 0.000
Be1 0.500 0.500 0.500
Cu1 0.000 0.000 0.500
```

=====

Density functional theory data (meta-GGA SCAN) for a PBEsol-optimized structure of CaBeCuPt2.

- uncorrected energy (eV per cell) = -160.72
- calculated formation energy (meV per atom) = 1776
- M_tot (μB per formula unit) = 0.00

Cell and atoms, written as CIF:
```
data_CaBeCuPt2
_cell_length_a 4.818
_cell_length_b 4.818
_cell_length_c 4.578
_cell_angle_alpha 90.00
_cell_angle_beta 90.00
_cell_angle_gamma 90.00
_symmetry_space_group_name_H-M 'P 4/m m m'
_symmetry_Int_Tables_number 123
_symmetry_space_group_name_Hall '-P 4 2'
loop_
_atom_site_label
_atom_site_fract_x
_atom_site_fract_y
_atom_site_fract_z
Ca1 0.000 0.000 0.000
Be1 0.000 0.000 0.500
Cu1 0.500 0.500 0.500
Pt1 0.000 0.500 0.000
```

=====

Density functional theory data (meta-GGA SCAN) for a PBEsol-optimized structure of SrCaBe2Cu.

- uncorrected energy (eV per cell) = -53.23
- calculated formation energy (meV per atom) = 523
- M_tot (μB per formula unit) = 0.39

Cell and atoms, written as CIF:
```
data_SrCaBe2Cu
_cell_length_a 4.550
_cell_length_b 4.550
_cell_length_c 5.121
_cell_angle_alpha 90.00
_cell_angle_beta 90.00
_cell_angle_gamma 90.00
_symmetry_space_group_name_H-M 'P 4/m m m'
_symmetry_Int_Tables_number 123
_symmetry_space_group_name_Hall '-P 4 2'
loop_
_atom_site_label
_atom_site_fract_x
_atom_site_fract_y
_atom_site_fract_z
Sr1 0.000 0.000 0.000
Ca1 0.500 0.500 0.000
Be1 0.000 0.500 0.500
Cu1 0.000 0.000 0.500
```

=====

Density functional theory data (meta-GGA SCAN) for a PBEsol-optimized structure of SrCaDy4Be2O10.

- E_form (uncorrected) (eV/f.u.) = -63.22
- uncorrected energy (eV per cell) = -714.74
- M_tot (μB per formula unit) = 0.00

Cell and atoms, written as CIF:
```
data_SrCaDy4Be2O10
_cell_length_a 6.287
_cell_length_b 6.980
_cell_length_c 9.201
_cell_angle_alpha 90.00
_cell_angle_beta 90.35
_cell_angle_gamma 90.00
_symmetry_space_group_name_H-M 'P 1 21 1'
_symmetry_Int_Tables_number 4
loop_
_symmetry_equiv_pos_as_xyz
'x,y,z'
'-x,y+1/2,-z'
loop_
_atom_site_label
_atom_site_fract_x
_atom_site_fract_y
_atom_site_fract_z
Sr1 0.081 0.000 0.325
Ca1 0.417 0.995 0.823
Dy1 0.074 0.458 0.321
Dy2 0.097 0.733 0.021
Dy3 0.405 0.732 0.522
Dy4 0.432 0.444 0.833
Be1 0.197 0.229 0.605
Be2 0.310 0.232 0.101
O1 0.024 0.730 0.489
O2 0.140 0.220 0.783
O3 0.160 0.747 0.781
O4 0.185 0.425 0.062
O5 0.201 0.030 0.070
O6 0.313 0.033 0.569
O7 0.324 0.426 0.582
O8 0.336 0.720 0.275
O9 0.366 0.243 0.279
O10 0.472 0.726 0.991
```

=====

Density functional theory data (meta-GGA SCAN) for a PBEsol-optimized structure of Ca2EuBeO5.

- E_form (uncorrected) (eV/f.u.) = -26.00
- uncorrected energy (eV per cell) = -538.19
- M_tot (μB per formula unit) = 5.00

Cell and atoms, written as CIF:
```
data_Ca2EuBeO5
_cell_length_a 9.155
_cell_length_b 7.016
_cell_length_c 6.378
_cell_angle_alpha 90.00
_cell_angle_beta 90.00
_cell_angle_gamma 90.00
_symmetry_space_group_name_H-M 'P n m a'
_symmetry_Int_Tables_number 62
loop_
_symmetry_equiv_pos_as_xyz
'x,y,z'
'-x,-y,-z'
'-x+1/2,-y,z+1/2'
'x+1/2,y,-z+1/2'
'x+1/2,-y+1/2,-z+1/2'
'-x+1/2,y+1/2,z+1/2'
'-x,y+1/2,-z'
'x,-y+1/2,z'
loop_
_atom_site_label
_atom_site_fract_x
_atom_site_fract_y
_atom_site_fract_z
Ca1 0.173 0.024 0.088
Eu1 0.022 0.250 0.590
Be1 0.103 0.750 0.817
O1 0.006 0.750 0.028
O2 0.069 0.558 0.688
O3 0.219 0.750 0.336
O4 0.223 0.250 0.374
```

=====

Density functional theory data (meta-GGA SCAN) for a PBEsol-optimized structure of Ca2Be2P2O9F.

- E_form (uncorrected) (eV/f.u.) = -47.63
- uncorrected energy (eV per cell) = -312.16
- M_tot (μB per formula unit) = 1.10

Cell and atoms, written as CIF:
```
data_Ca2Be2P2O9F
_cell_length_a 4.794
_cell_length_b 7.671
_cell_length_c 9.709
_cell_angle_alpha 90.00
_cell_angle_beta 90.40
_cell_angle_gamma 90.00
_symmetry_space_group_name_H-M 'P 1 c 1'
_symmetry_Int_Tables_number 7
loop_
_symmetry_equiv_pos_as_xyz
'x,y,z'
'x,-y,z+1/2'
loop_
_atom_site_label
_atom_site_fract_x
_atom_site_fract_y
_atom_site_fract_z
Ca1 0.000 0.133 0.000
Ca2 0.002 0.363 0.341
Be1 0.457 0.336 0.836
Be2 0.540 0.163 0.508
P1 0.472 0.022 0.251
P2 0.524 0.480 0.089
O1 0.244 0.151 0.210
O2 0.316 0.407 0.979
O3 0.335 0.142 0.816
O4 0.352 0.470 0.717
O5 0.649 0.030 0.625
O6 0.662 0.355 0.527
O7 0.678 0.098 0.361
O8 0.755 0.350 0.126
O9 0.789 0.348 0.861
F1 0.213 0.159 0.496
```

=====

Density functional theory data (meta-GGA SCAN) for a PBEsol-optimized structure of RbCaBe2F.

- E_form (uncorrected) (eV/f.u.) = 2.42
- uncorrected energy (eV per cell) = -40.23
- M_tot (μB per formula unit) = 0.00

Cell and atoms, written as CIF:
```
data_RbCaBe2F
_cell_length_a 5.554
_cell_length_b 5.554
_cell_length_c 4.694
_cell_angle_alpha 90.00
_cell_angle_beta 90.00
_cell_angle_gamma 90.00
_symmetry_space_group_name_H-M 'P 4/m m m'
_symmetry_Int_Tables_number 123
_symmetry_space_group_name_Hall '-P 4 2'
loop_
_atom_site_label
_atom_site_fract_x
_atom_site_fract_y
_atom_site_fract_z
Rb1 0.000 0.000 0.000
Ca1 0.500 0.500 0.500
Be1 0.000 0.500 0.000
F1 0.000 0.000 0.500
```

=====

Density functional theory data (meta-GGA SCAN) for a PBEsol-optimized structure of CaBe2Fe.

- uncorrected energy (eV per cell) = -35.52
- calculated formation energy (meV per atom) = 245
- M_tot (μB per formula unit) = 2.13

Cell and atoms, written as CIF:
```
data_CaBe2Fe
_cell_length_a 2.877
_cell_length_b 2.877
_cell_length_c 6.249
_cell_angle_alpha 90.00
_cell_angle_beta 90.00
_cell_angle_gamma 90.00
_symmetry_space_group_name_H-M 'P 4/m m m'
_symmetry_Int_Tables_number 123
_symmetry_space_group_name_Hall '-P 4 2'
loop_
_atom_site_label
_atom_site_fract_x
_atom_site_fract_y
_atom_site_fract_z
Ca1 0.000 0.000 0.000
Be1 0.500 0.500 0.338
Fe1 0.000 0.000 0.500
```

=====

Density functional theory data (meta-GGA SCAN) for a PBEsol-optimized structure of Rb2CaBeGa.

- uncorrected energy (eV per cell) = -68.01
- calculated formation energy (meV per atom) = 766
- M_tot (μB per formula unit) = 0.31

Cell and atoms, written as CIF:
```
data_Rb2CaBeGa
_cell_length_a 6.494
_cell_length_b 6.494
_cell_length_c 5.854
_cell_angle_alpha 90.00
_cell_angle_beta 90.00
_cell_angle_gamma 90.00
_symmetry_space_group_name_H-M 'P 4/m m m'
_symmetry_Int_Tables_number 123
_symmetry_space_group_name_Hall '-P 4 2'
loop_
_atom_site_label
_atom_site_fract_x
_atom_site_fract_y
_atom_site_fract_z
Rb1 0.000 0.500 0.000
Ca1 0.000 0.000 0.500
Be1 0.500 0.500 0.500
Ga1 0.000 0.000 0.000
```

=====

Density functional theory data (meta-GGA SCAN) for a PBEsol-optimized structure of Ca2BeGaSe.

- E_form (uncorrected) (eV/f.u.) = 0.14
- uncorrected energy (eV per cell) = -59.97
- M_tot (μB per formula unit) = 0.01

Cell and atoms, written as CIF:
```
data_Ca2BeGaSe
_cell_length_a 5.377
_cell_length_b 5.377
_cell_length_c 5.033
_cell_angle_alpha 90.00
_cell_angle_beta 90.00
_cell_angle_gamma 90.00
_symmetry_space_group_name_H-M 'P 4/m m m'
_symmetry_Int_Tables_number 123
_symmetry_space_group_name_Hall '-P 4 2'
loop_
_atom_site_label
_atom_site_fract_x
_atom_site_fract_y
_atom_site_fract_z
Ca1 0.000 0.500 0.000
Be1 0.000 0.000 0.500
Ga1 0.500 0.500 0.500
Se1 0.500 0.500 0.000
```

=====

Density functional theory data (meta-GGA SCAN) for a PBEsol-optimized structure of CaGd2BeO5.

- E_form (uncorrected) (eV/f.u.) = -31.08
- uncorrected energy (eV per cell) = -775.56
- M_tot (μB per formula unit) = 13.99

Cell and atoms, written as CIF:
```
data_CaGd2BeO5
_cell_length_a 9.225
_cell_length_b 6.322
_cell_length_c 7.007
_cell_angle_alpha 90.00
_cell_angle_beta 90.00
_cell_angle_gamma 90.00
_symmetry_space_group_name_H-M 'P n a 21'
_symmetry_Int_Tables_number 33
loop_
_symmetry_equiv_pos_as_xyz
'x,y,z'
'-x,-y,z+1/2'
'-x+1/2,y+1/2,z+1/2'
'x+1/2,-y+1/2,z'
loop_
_atom_site_label
_atom_site_fract_x
_atom_site_fract_y
_atom_site_fract_z
Ca1 0.176 0.080 0.000
Gd1 0.022 0.597 0.766
Gd2 0.173 0.072 0.547
Be1 0.104 0.806 0.268
O1 0.010 0.023 0.270
O2 0.072 0.684 0.073
O3 0.073 0.693 0.465
O4 0.219 0.360 0.768
O5 0.225 0.335 0.266
```

=====

Density functional theory data (meta-GGA SCAN) for a PBEsol-optimized structure of CaBeReGe2.

- uncorrected energy (eV per cell) = -120.86
- calculated formation energy (meV per atom) = 486
- M_tot (μB per formula unit) = 0.67

Cell and atoms, written as CIF:
```
data_CaBeReGe2
_cell_length_a 4.435
_cell_length_b 4.435
_cell_length_c 4.296
_cell_angle_alpha 90.00
_cell_angle_beta 90.00
_cell_angle_gamma 90.00
_symmetry_space_group_name_H-M 'P 4/m m m'
_symmetry_Int_Tables_number 123
_symmetry_space_group_name_Hall '-P 4 2'
loop_
_atom_site_label
_atom_site_fract_x
_atom_site_fract_y
_atom_site_fract_z
Ca1 0.000 0.000 0.000
Be1 0.500 0.500 0.500
Re1 0.500 0.500 0.000
Ge1 0.000 0.500 0.500
```

=====

> Look up the M_tot of the seventh one.

0.00 μB per formula unit

=====

> Among the records above, which one has the highest M_tot?

CaGd2BeO5

=====

> The lowest uncorrected energy belongs to which entry?

CaGd2BeO5

=====

> Which formula does entry 6 have?

Ca2Be2P2O9F